P | # CaScCl2

Crystalline CaScCl2 at its relaxed geometry (PBE, Alexandria).

Calculated values
crystal system = monoclinic
DOS at the Fermi energy = 3.591 states/eV/cell
SG = C2/m
size of the total moment = 0.000 μB/atom
calculated density = 2.930 g/cm³

a b c (Å): 4.6064 4.6064 6.1161
angles (deg): 76.53 76.53 44.72
Closest atoms and distances in Å follow each position.
Element x y z (fractional)
Cl  0.4871  0.4871  0.5253  3 Sc 2.76-2.91, 3 Ca 2.94-3.00
Cl  0.0129  0.0129  0.9747  3 Sc 2.76-2.91, 3 Ca 2.94-3.00
Ca  0.2500  0.2500  0.2500  6 Cl 2.94-3.00
Sc  0.7500  0.7500  0.7500  6 Cl 2.76-2.91

Q | # CaScCl2

Crystalline CaScCl2 at its relaxed geometry (PBE, Alexandria).

Calculated values
crystal system = tetragonal
DOS at the Fermi energy = 3.406 states/eV/cell
SG = I-4m2
size of the total moment = 0.000 μB/atom
calculated density = 2.540 g/cm³

a b c (Å): 7.4675 7.4675 7.4675
angles (deg): 150.31 150.31 42.49
Closest atoms and distances in Å follow each position.
Element x y z (fractional)
Cl  0.0000  0.0000  0.0000  4 Sc 2.71
Cl  0.2500  0.7500  0.5000  4 Ca 2.71
Ca  0.7500  0.2500  0.5000  4 Cl 2.71
Sc  0.5000  0.5000  0.0000  4 Cl 2.71

R | # CaScCl2

Crystalline CaScCl2 at its relaxed geometry (PBE, Alexandria).

Calculated values
crystal system = orthorhombic
DOS at the Fermi energy = 2.386 states/eV/cell
SG = Imm2
size of the total moment = 0.223 μB/atom
calculated density = 2.296 g/cm³

a b c (Å): 9.8530 9.8530 9.8530
angles (deg): 159.87 159.95 28.56
Closest atoms and distances in Å follow each position.
Element x y z (fractional)
Sc  0.4580  0.4580  0.0000  4 Cl 2.72
Cl  0.7225  0.2225  0.5000  4 Ca 2.82
Cl  0.0223  0.0223  0.0000  4 Sc 2.72
Ca  0.2972  0.7972  0.5000  4 Cl 2.82

Q: Which of them is the least stable? A: Q.

P | # CaScCl

Crystalline CaScCl at its relaxed geometry (PBE, Alexandria).

Calculated values
crystal system = tetragonal
DOS at the Fermi energy = 3.148 states/eV/cell
SG = I4mm
size of the total moment = 0.149 μB/atom
calculated density = 2.649 g/cm³

a b c (Å): 7.0511 7.0511 7.0511
angles (deg): 152.32 152.32 39.55
Closest atoms and distances in Å follow each position.
Element x y z (fractional)
Ca  0.9899  0.9899  0.0000  4 Cl 3.20, 4 Ca 3.37, 4 Sc 3.48
Cl  0.3295  0.3295  0.0000  4 Sc 3.10, 4 Ca 3.20, 4 Cl 3.37
Sc  0.6806  0.6806  0.0000  4 Cl 3.10, 4 Sc 3.37

Q | # CaScCl

Crystalline CaScCl at its relaxed geometry (PBE, Alexandria).

Calculated values
crystal system = orthorhombic
DOS at the Fermi energy = 1.575 states/eV/cell
SG = Fmm2
size of the total moment = 0.000 μB/atom
calculated density = 2.587 g/cm³

a b c (Å): 7.6251 7.2608 3.5038
angles (deg): 82.26 70.66 27.09
Closest atoms and distances in Å follow each position.
Element x y z (fractional)
Sc  0.3182  0.3182  0.6818  2 Cl 2.77
Cl  0.6717  0.6717  0.3283  2 Sc 2.77, 2 Ca 2.93
Ca  0.0101  0.0101  0.9899  2 Cl 2.93, 2 Sc 3.27

R | # CaScCl

Crystalline CaScCl at its relaxed geometry (PBE, Alexandria).

Calculated values
crystal system = cubic
DOS at the Fermi energy = 1.930 states/eV/cell
SG = F-43m
size of the total moment = 0.668 μB/atom
calculated density = 2.578 g/cm³

a b c (Å): 4.7881 4.7881 4.7881
angles (deg): 60.00 60.00 60.00
Closest atoms and distances in Å follow each position.
Element x y z (fractional)
Sc  0.0000  0.0000  0.0000  4 Cl 2.93
Cl  0.7500  0.7500  0.7500  4 Ca 2.93, 4 Sc 2.93
Ca  0.5000  0.5000  0.5000  4 Cl 2.93

S | # CaScCl

Crystalline CaScCl at its relaxed geometry (PBE, Alexandria).

Calculated values
crystal system = trigonal
DOS at the Fermi energy = 3.947 states/eV/cell
SG = P3m1
size of the total moment = 0.220 μB/atom
calculated density = 2.643 g/cm³

a b c (Å): 3.6022 3.6022 6.7360
angles (deg): 90.00 90.00 120.00
Closest atoms and distances in Å follow each position.
Element x y z (fractional)
Cl  0.3333  0.6667  0.3478  3 Sc 2.80, 3 Ca 3.01
Ca  0.0000  0.0000  0.0250  3 Cl 3.01
Sc  0.6667  0.3333  0.6272  3 Cl 2.80

Q: Which of them is the least stable? A: R.

P | # SrCaScCl2

Crystalline SrCaScCl2 at its relaxed geometry (PBE, Alexandria).

Calculated values
crystal system = tetragonal
DOS at the Fermi energy = 4.512 states/eV/cell
SG = P4/mmm
size of the total moment = 0.203 μB/atom
calculated density = 1.623 g/cm³

a b c (Å): 5.1879 9.2561 5.1879
angles (deg): 90.00 90.00 90.00
Closest atoms and distances in Å follow each position.
Element x y z (fractional)
Sr  0.0000  0.5000  0.0000  4 Sc 3.67
Cl  0.0000  0.0000  0.5000  2 Ca 2.59
Cl  0.5000  0.0000  0.0000  2 Ca 2.59
Sc  0.5000  0.5000  0.5000  4 Sr 3.67
Ca  0.0000  0.0000  0.0000  4 Cl 2.59

Q | # SrCaScCl2

Crystalline SrCaScCl2 at its relaxed geometry (PBE, Alexandria).

Calculated values
crystal system = tetragonal
DOS at the Fermi energy = 3.062 states/eV/cell
SG = P4/mmm
size of the total moment = 0.250 μB/atom
calculated density = 2.003 g/cm³

a b c (Å): 5.2840 7.2306 5.2840
angles (deg): 90.00 90.00 90.00
Closest atoms and distances in Å follow each position.
Element x y z (fractional)
Sr  0.5000  0.5000  0.5000  4 Sc 3.74
Cl  0.0000  0.0000  0.5000  2 Ca 2.64
Cl  0.5000  0.0000  0.0000  2 Ca 2.64
Sc  0.0000  0.5000  0.0000  2 Ca 3.62, 4 Sr 3.74
Ca  0.0000  0.0000  0.0000  4 Cl 2.64

Q: Which of them is the least stable? A: P.

P | # CaSe3Cl

Crystalline CaSe3Cl at its relaxed geometry (PBE, Alexandria).

Calculated values
crystal system = cubic
DOS at the Fermi energy = 26.277 states/eV/cell
SG = Pm-3m
size of the total moment = 1.000 μB/atom
calculated density = 2.787 g/cm³

a b c (Å): 5.7097 5.7097 5.7097
angles (deg): 90.00 90.00 90.00
Closest atoms and distances in Å follow each position.
Element x y z (fractional)
Se  0.0000  0.0000  0.5000  2 Ca 2.85
Se  0.5000  0.0000  0.0000  2 Ca 2.85
Se  0.0000  0.5000  0.0000  2 Ca 2.85
Ca  0.0000  0.0000  0.0000  6 Se 2.85
Cl  0.5000  0.5000  0.5000  12 Se 4.04

Q | # CaSe3Cl

Crystalline CaSe3Cl at its relaxed geometry (PBE, Alexandria).

Calculated values
crystal system = cubic
DOS at the Fermi energy = 2.336 states/eV/cell
SG = Pm-3m
size of the total moment = 0.000 μB/atom
calculated density = 4.053 g/cm³

a b c (Å): 5.0397 5.0397 5.0397
angles (deg): 90.00 90.00 90.00
Closest atoms and distances in Å follow each position.
Element x y z (fractional)
Se  0.0000  0.0000  0.5000  2 Cl 2.52
Se  0.5000  0.0000  0.0000  2 Cl 2.52
Se  0.0000  0.5000  0.0000  2 Cl 2.52
Cl  0.0000  0.0000  0.0000  6 Se 2.52
Ca  0.5000  0.5000  0.5000  12 Se 3.56

Q: Which of them is the least stable? A: P.

P | # CaSi2Cl

Crystalline CaSi2Cl at its relaxed geometry (PBE, Alexandria).

Calculated values
crystal system = orthorhombic
DOS at the Fermi energy = 0.827 states/eV/cell
SG = Imm2
size of the total moment = 0.000 μB/atom
calculated density = 2.126 g/cm³

a b c (Å): 5.5567 5.5567 5.5567
angles (deg): 138.98 108.49 85.89
Closest atoms and distances in Å follow each position.
Element x y z (fractional)
Si  0.9390  0.9390  0.0000  2 Si 2.28
Si  0.7928  0.2928  0.5000  2 Si 2.28
Ca  0.4941  0.4941  0.0000  2 Cl 2.64
Cl  0.2741  0.7741  0.5000  2 Ca 2.64

Q | # CaSi2Cl

Crystalline CaSi2Cl at its relaxed geometry (PBE, Alexandria).

Calculated values
crystal system = tetragonal
DOS at the Fermi energy = 2.065 states/eV/cell
SG = P4mm
size of the total moment = 0.000 μB/atom
calculated density = 2.312 g/cm³

a b c (Å): 3.4659 3.4665 7.8721
angles (deg): 90.00 90.00 90.00
Closest atoms and distances in Å follow each position.
Element x y z (fractional)
Cl  0.5000  0.5000  0.6729  4 Ca 2.80
Si  0.5000  0.5000  0.1996  4 Si 2.52
Si  0.0000  0.0000  0.1258  4 Si 2.52
Ca  0.0000  0.0000  0.5017  4 Cl 2.80, 1 Si 2.96

R | # CaSi2Cl

Crystalline CaSi2Cl at its relaxed geometry (PBE, Alexandria).

Calculated values
crystal system = orthorhombic
DOS at the Fermi energy = 0.351 states/eV/cell
SG = Pmmm
size of the total moment = 0.000 μB/atom
calculated density = 2.067 g/cm³

a b c (Å): 4.5510 4.5635 5.0953
angles (deg): 90.00 90.00 90.00
Closest atoms and distances in Å follow each position.
Element x y z (fractional)
Si  0.0000  0.0000  0.4641  1 Si 2.18
Si  0.0000  0.0000  0.0359  1 Si 2.18
Ca  0.5000  0.5000  0.2500  2 Cl 2.55
Cl  0.5000  0.5000  0.7500  2 Ca 2.55

Q: Which of them is the least stable? A: R.